(1)
EuDyPb: optimized geometry, PBE.

a b c (Å): 3.8133 5.4243 5.4243
angles (deg): 120.00 90.00 90.00
With the nearest neighbours (Å) after each atom.
Fractional coordinates of all 3 atoms:
1 Pb 0.7676 0.6667 0.3333  3 Dy 3.16, 3 Eu 3.51
2 Eu 0.3520 0.3333 0.6667  6 Pb 3.51-3.84, 6 Dy 3.61-3.72, 2 Eu 3.81
3 Dy 0.8804 0.0000 0.0000  3 Pb 3.16

Summary:
formation enthalpy at 0 K = -0.264 eV/atom
total DFT energy (no corrections) = -19.4 eV/f.u.
total moment = 2.602 μB per atom


(2)
LiGdAs: optimized geometry, PBE.

a b c (Å): 3.9988 4.1812 4.1812
angles (deg): 120.00 90.00 90.00
With the nearest neighbours (Å) after each atom.
Fractional coordinates of all 3 atoms:
1 As 0.1666 0.0000 0.0000  3 Li 2.41
2 Gd 0.6667 0.3333 0.6667  6 As 3.13, 6 Li 3.13
3 Li 0.1667 0.6667 0.3333  3 As 2.41

Summary:
formation enthalpy at 0 K = -0.994 eV/atom
total DFT energy (no corrections) = -23.6 eV/f.u.
total moment = 2.616 μB per atom


(3)
YMoRu: optimized geometry, PBE.

a b c (Å): 4.4839 4.4839 4.4839
angles (deg): 60.00 60.00 60.00
With the nearest neighbours (Å) after each atom.
Fractional coordinates of all 3 atoms:
1 Mo 0.5000 0.5000 0.5000  4 Ru 2.75
2 Ru 0.7500 0.7500 0.7500  4 Mo 2.75, 4 Y 2.75
3 Y 0.0000 0.0000 0.0000  4 Ru 2.75

Summary:
formation enthalpy at 0 K = 0.371 eV/atom
total DFT energy (no corrections) = -25.5 eV/f.u.
total moment = 0.000 μB per atom


(4)
PuTlTc2O8: optimized geometry, PBE.

a b c (Å): 6.0330 6.0330 7.8064
angles (deg): 90.00 90.00 120.00
With the nearest neighbours (Å) after each atom.
Fractional coordinates of all 12 atoms:
1 Pu 0.0000 0.0000 0.5000  6 O 2.25
2 Tl 0.0000 0.0000 0.0000  6 O 3.09
3 Tc 0.6667 0.3333 0.2444  4 O 1.74-1.82
4 Tc 0.3333 0.6667 0.7556  4 O 1.74-1.82
5 O 0.3333 0.6667 0.9788  1 Tc 1.74
6 O 0.3404 0.1907 0.3238  1 Tc 1.82
7 O 0.8093 0.1498 0.3238  1 Tc 1.82
8 O 0.6667 0.3333 0.0212  1 Tc 1.74
9 O 0.1907 0.8502 0.6762  1 Tc 1.82
10 O 0.6596 0.8093 0.6762  1 Tc 1.82
11 O 0.1498 0.3404 0.6762  1 Tc 1.82
12 O 0.8502 0.6596 0.3238  1 Tc 1.82

Summary:
ΔE_f (raw) = -1.682 eV per atom
total DFT energy (no corrections) = -97.3 eV/f.u.
total moment = 0.586 μB per atom


(5)
MnTe2HN: optimized geometry, PBE.

a b c (Å): 5.2343 5.2343 3.4171
angles (deg): 90.00 90.00 90.00
With the nearest neighbours (Å) after each atom.
Fractional coordinates of all 5 atoms:
1 H 0.5000 0.5000 0.5000  8 Te 3.13, 2 H 3.42
2 Te 0.0000 0.5000 0.0000  2 Mn 2.62
3 Te 0.5000 0.0000 0.0000  2 Mn 2.62
4 Mn 0.0000 0.0000 0.0000  2 N 1.71
5 N 0.0000 0.0000 0.5000  2 Mn 1.71

Summary:
total DFT energy (no corrections) = -24.2 eV/f.u.
total moment = 0.168 μB per atom


(6)
Dy5Zn2Pt: optimized geometry, PBE.

a b c (Å): 7.1737 7.1737 9.2481
angles (deg): 112.82 112.82 90.00
With the nearest neighbours (Å) after each atom.
Fractional coordinates of all 16 atoms:
1 Dy 0.5200 0.6738 0.6938  2 Pt 3.05, 3 Zn 3.15-3.20, 1 Dy 3.38
2 Dy 0.8262 0.9800 0.3062  2 Pt 3.05, 3 Zn 3.15-3.20, 1 Dy 3.38
3 Dy 0.0000 0.0000 0.0000  4 Zn 2.85
4 Dy 0.5000 0.5000 0.0000  4 Zn 2.85
5 Dy 0.1738 0.0200 0.6938  2 Pt 3.05, 3 Zn 3.15-3.20, 1 Dy 3.38
6 Dy 0.6738 0.1738 0.6938  2 Pt 3.05, 3 Zn 3.15-3.20, 1 Dy 3.38
7 Dy 0.0200 0.5200 0.6938  2 Pt 3.05, 3 Zn 3.15-3.20, 1 Dy 3.38
8 Dy 0.3262 0.8262 0.3062  2 Pt 3.05, 3 Zn 3.15-3.20, 1 Dy 3.38
9 Dy 0.9800 0.4800 0.3062  2 Pt 3.05, 3 Zn 3.15-3.20, 1 Dy 3.38
10 Dy 0.4800 0.3262 0.3062  2 Pt 3.05, 3 Zn 3.15-3.20, 1 Dy 3.38
11 Zn 0.1215 0.3785 0.0000  1 Zn 2.47
12 Zn 0.6215 0.1215 0.0000  1 Zn 2.47
13 Zn 0.3785 0.8785 0.0000  1 Zn 2.47
14 Zn 0.8785 0.6215 0.0000  1 Zn 2.47
15 Pt 0.7500 0.7500 0.5000  8 Dy 3.05
16 Pt 0.2500 0.2500 0.5000  8 Dy 3.05

Summary:
formation enthalpy at 0 K = -0.485 eV/atom
total DFT energy (no corrections) = -35.5 eV/f.u.
total moment = 0.000 μB per atom


(7)
LiCeSiPt2: optimized geometry, PBE.

a b c (Å): 4.1015 4.1015 6.1043
angles (deg): 109.63 109.63 90.00
With the nearest neighbours (Å) after each atom.
Fractional coordinates of all 5 atoms:
1 Li 0.2500 0.7500 0.5000  4 Pt 2.45
2 Ce 0.0000 0.0000 0.0000  8 Pt 3.20, 4 Li 3.38, 4 Si 3.38
3 Si 0.7500 0.2500 0.5000  4 Pt 2.45
4 Pt 0.6256 0.6256 0.2512  2 Si 2.45, 2 Li 2.45, 1 Pt 2.70
5 Pt 0.3744 0.3744 0.7488  2 Li 2.45, 2 Si 2.45, 1 Pt 2.70

Summary:
ΔE_f (raw) = -0.914 eV per atom
total DFT energy (no corrections) = -29.9 eV/f.u.
total moment = 0.146 μB per atom


(8)
CuSiGe3: optimized geometry, PBE.

a b c (Å): 4.6771 4.6771 4.6771
angles (deg): 90.00 90.00 90.00
With the nearest neighbours (Å) after each atom.
Fractional coordinates of all 5 atoms:
1 Ge 0.0000 0.5000 0.0000  2 Cu 2.34
2 Ge 0.0000 0.0000 0.5000  2 Cu 2.34
3 Ge 0.5000 0.0000 0.0000  2 Cu 2.34
4 Si 0.5000 0.5000 0.5000  12 Ge 3.31
5 Cu 0.0000 0.0000 0.0000  6 Ge 2.34

Summary:
ΔE_f (raw) = 0.683 eV per atom
total DFT energy (no corrections) = -20.0 eV/f.u.
total moment = 0.000 μB per atom